# NaCoS2N | Alexandria | PBE | optimized geometry
# - electronic total energy (Ry per atom) = -0.22646
# - energy above the lowest structure with this stoichiometry (meV per atom) = 1778
# - crystal system = tetragonal
data_NaCoS2N
_chemical_formula_sum 'Na1 Co1 S2 N1'
_cell_length_a 4.826
_cell_length_b 4.826
_cell_length_c 4.087
_cell_angle_alpha 90.00
_cell_angle_beta 90.00
_cell_angle_gamma 90.00
_symmetry_space_group_name_H-M 'P 4/m m m'
_symmetry_Int_Tables_number 123
_symmetry_space_group_name_Hall '-P 4 2'
loop_
_atom_site_label
_atom_site_fract_x
_atom_site_fract_y
_atom_site_fract_z
Na1 0.000 0.000 0.000
Co1 0.500 0.500 0.500
S1 0.000 0.500 0.000
N1 0.000 0.000 0.500